Material: DyLuSnRh
Method: DFT, PBE-GGA
State: relaxed

- Density: 10.2 g/cm³
- Calculated total energy: -5.788 eV/atom
- Crystal system: cubic

a b c (Å): 5.0476 5.0476 5.0476
angles (deg): 60.00 60.00 60.00
Sites, in units of the cell vectors:
Dy1 0.0000 0.0000 0.0000
Lu1 0.5000 0.5000 0.5000
Sn1 0.2500 0.2500 0.2500
Rh1 0.7500 0.7500 0.7500